Entry i
Density functional theory data (PBE) for a relaxed structure of Dy3Ho4Cd.

Geometry as POSCAR:
```
Dy3Ho4Cd
1.0
-0.1728 2.2174 -2.7533
-3.3960 0.6616 0.7460
5.3027 14.4607 11.3135
Cd Ho Dy
1 4 3
Direct
0.5000 0.5000 0.0000 Cd
0.0000 0.0000 0.8910 Ho
0.0000 0.0000 0.1090 Ho
0.0000 0.0000 0.3692 Ho
0.0000 0.0000 0.6308 Ho
0.5000 0.5000 0.2388 Dy
0.5000 0.5000 0.5000 Dy
0.5000 0.5000 0.7612 Dy
```

Properties
- Fermi-level density of states (states/eV per atom) = 1.31
- total magnetization (μB per atom) = 0.000

---

Entry ii
Density functional theory data (PBE) for a relaxed structure of Dy3Ho4Cd.

Geometry as POSCAR:
```
Dy3Ho4Cd
1.0
7.1570 -0.6158 1.1685
-4.0605 5.9257 -1.1685
-1.9841 -2.4008 6.5777
Dy Ho Cd
3 4 1
Direct
0.5861 0.1837 0.7699 Dy
0.9277 0.0000 0.9277 Dy
0.5861 0.8163 0.4024 Dy
0.2677 0.6742 0.9418 Ho
0.2677 0.3258 0.5935 Ho
0.5004 0.2482 0.2523 Ho
0.0041 0.7518 0.2523 Ho
0.0112 0.5000 0.5112 Cd
```

Properties
- Fermi-level density of states (states/eV per atom) = 1.69
- total magnetization (μB per atom) = 0.000

---

Order of stability, best first: entry i, entry ii

---

Entry i
Density functional theory data (PBE) for a relaxed structure of DyHo2Cd.

Geometry as POSCAR:
```
DyHo2Cd
1.0
-0.2127 2.3690 -3.1780
2.7998 -3.5587 -2.8402
-4.5441 -2.3937 -1.4801
Cd Ho Dy
1 2 1
Direct
0.5000 0.5000 0.5000 Cd
0.0000 0.0000 0.5000 Ho
0.0000 0.5000 0.0000 Ho
0.5000 0.0000 0.0000 Dy
```

Properties
- Fermi-level density of states (states/eV per atom) = 1.23
- total magnetization (μB per atom) = 0.000

---

Entry ii
Density functional theory data (PBE) for a relaxed structure of DyHo2Cd.

Geometry as POSCAR:
```
DyHo2Cd
1.0
5.4157 0.0000 0.0000
2.7079 4.6902 0.0000
2.7079 1.5634 4.4219
Cd Ho Dy
1 2 1
Direct
0.5000 0.5000 0.5000 Cd
0.2500 0.2500 0.2500 Ho
0.7500 0.7500 0.7500 Ho
0.0000 0.0000 0.0000 Dy
```

Properties
- Fermi-level density of states (states/eV per atom) = 1.28
- total magnetization (μB per atom) = 0.000

---

Order of stability, best first: entry i, entry ii

---

Entry i
Density functional theory data (PBE) for a relaxed structure of DyHo2Cd.

Geometry as POSCAR:
```
DyHo2Cd
1.0
-2.2027 -2.0150 -1.9484
-0.5119 -2.1471 2.7993
-6.9812 5.0904 2.6278
Cd Ho Dy
1 2 1
Direct
0.5000 0.5000 0.0000 Cd
0.0000 0.0000 0.7720 Ho
0.0000 0.0000 0.2280 Ho
0.5000 0.5000 0.5000 Dy
```

Properties
- Fermi-level density of states (states/eV per atom) = 1.16
- total magnetization (μB per atom) = 0.000

---

Entry ii
Density functional theory data (PBE) for a relaxed structure of DyHo2Cd.

Geometry as POSCAR:
```
DyHo2Cd
1.0
3.5855 0.0000 0.0000
1.7928 3.1052 0.0000
1.7928 1.0351 10.6586
Dy Ho Cd
1 2 1
Direct
0.5001 0.5001 0.4998 Dy
0.0779 0.0779 0.7662 Ho
0.2555 0.2555 0.2336 Ho
0.6665 0.6665 0.0004 Cd
```

Properties
- Fermi-level density of states (states/eV per atom) = 1.53
- total magnetization (μB per atom) = 0.062

---

Order of stability, best first: entry i, entry ii

---

Entry i
Density functional theory data (PBE) for a relaxed structure of Dy8Ho2Cd.

Geometry as POSCAR:
```
Dy8Ho2Cd
1.0
-3.9532 0.3348 4.5780
6.8997 -3.6337 -0.4165
3.4456 7.7515 3.7028
Dy Ho Cd
8 2 1
Direct
0.5914 0.1810 0.3616 Dy
0.7718 0.5408 0.0901 Dy
0.8597 0.7253 0.4563 Dy
0.9545 0.9068 0.8216 Dy
0.1403 0.2747 0.5437 Dy
0.2282 0.4592 0.9099 Dy
0.4086 0.8190 0.6384 Dy
0.0455 0.0932 0.1784 Dy
0.6737 0.3616 0.7302 Ho
0.3263 0.6384 0.2698 Ho
0.5000 0.0000 0.0000 Cd
```

Properties
- Fermi-level density of states (states/eV per atom) = 1.35
- total magnetization (μB per atom) = 0.000

---

Entry ii
Density functional theory data (PBE) for a relaxed structure of Dy8Ho2Cd.

Geometry as POSCAR:
```
Dy8Ho2Cd
1.0
5.5388 0.0000 0.0000
0.0000 6.2494 1.2866
-2.7694 -1.1583 9.5281
Dy Ho Cd
8 2 1
Direct
0.4208 0.5972 0.8415 Dy
0.6605 0.8788 0.3211 Dy
0.8456 0.8035 0.6912 Dy
0.9558 0.2629 0.9117 Dy
0.1544 0.1965 0.3088 Dy
0.3395 0.1212 0.6789 Dy
0.5792 0.4028 0.1585 Dy
0.0442 0.7371 0.0883 Dy
0.7582 0.3338 0.5163 Ho
0.2418 0.6662 0.4837 Ho
0.5000 0.0000 0.0000 Cd
```

Properties
- Fermi-level density of states (states/eV per atom) = 1.40
- total magnetization (μB per atom) = 0.000

---

Order of stability, best first: entry ii, entry i

---

Entry i
Density functional theory data (PBE) for a relaxed structure of DyHoCdNi.

Geometry as POSCAR:
```
DyHoCdNi
1.0
-1.6446 0.3855 -2.9981
-2.3599 -2.2966 0.9992
-4.1805 5.6073 3.0142
Dy Ho Cd Ni
1 1 1 1
Direct
0.5000 0.5000 0.7832 Dy
0.5000 0.5000 0.3597 Ho
0.0000 0.0000 0.0731 Cd
0.0000 0.0000 0.5687 Ni
```

Properties
- Fermi-level density of states (states/eV per atom) = 0.56
- total magnetization (μB per atom) = 0.000

---

Entry ii
Density functional theory data (PBE) for a relaxed structure of DyHoCdNi.

Geometry as POSCAR:
```
DyHoCdNi
1.0
5.0389 0.0000 0.0000
2.5194 4.3638 0.0000
2.5194 1.4546 4.1142
Ni Cd Ho Dy
1 1 1 1
Direct
0.2500 0.2500 0.2500 Ni
0.7500 0.7500 0.7500 Cd
0.5000 0.5000 0.5000 Ho
0.0000 0.0000 0.0000 Dy
```

Properties
- Fermi-level density of states (states/eV per atom) = 0.67
- total magnetization (μB per atom) = 0.000

---

Order of stability, best first: entry i, entry ii

---

Entry i
Density functional theory data (PBE) for a relaxed structure of DyHoCdPd.

Geometry as POSCAR:
```
DyHoCdPd
1.0
3.5904 0.0000 0.0000
0.0000 3.5904 0.0000
0.0000 0.0000 7.3434
Dy Ho Cd Pd
1 1 1 1
Direct
0.0000 0.0000 0.8341 Dy
0.0000 0.0000 0.3805 Ho
0.5000 0.5000 0.1088 Cd
0.5000 0.5000 0.6045 Pd
```

Properties
- Fermi-level density of states (states/eV per atom) = 0.73
- total magnetization (μB per atom) = 0.000

---

Entry ii
Density functional theory data (PBE) for a relaxed structure of DyHoCdPd.

Geometry as POSCAR:
```
DyHoCdPd
1.0
-3.4272 -3.0385 2.2678
1.5516 -3.6052 3.2735
-0.9518 0.5041 4.9961
Cd Ho Pd Dy
1 1 1 1
Direct
0.7500 0.7500 0.7500 Cd
0.5000 0.5000 0.5000 Ho
0.2500 0.2500 0.2500 Pd
0.0000 0.0000 0.0000 Dy
```

Properties
- Fermi-level density of states (states/eV per atom) = 0.68
- total magnetization (μB per atom) = 0.000

---

Order of stability, best first: entry i, entry ii